Entry 1:
Pm2Pr2Dy2Y, relaxed, DFT PBE; total moment = 0.000 μB per atom; space-group type = R-3m; density = 6.9 g cm⁻³; crystal system = trigonal; formation energy = 0.128 eV/atom; electronic total energy = -4.83 eV per atom; D(E_F) = 15.9 states/eV/f.u.
1.0
5.762 0.000 0.000
2.881 4.990 0.000
2.881 1.663 8.274
Pm Pr Dy Y
2 2 2 1
Direct
0.716 0.716 0.852
0.284 0.284 0.148
0.139 0.139 0.584
0.861 0.861 0.416
0.573 0.573 0.282
0.427 0.427 0.718
0.000 0.000 0.000



Entry 2:
Sr2TlRh, relaxed, DFT PBE; total moment = 0.000 μB per atom; space-group type = Pmmm; offset from the most stable computed form = 0.056 eV per atom; density = 7.0 g cm⁻³; crystal system = orthorhombic; formation energy = -0.235 eV/atom; electronic total energy = -3.51 eV per atom; D(E_F) = 2.7 states/eV/f.u.
1.0
3.684 0.000 0.000
0.000 3.850 0.017
0.000 3.811 8.123
Rh Sr Tl
1 2 1
Direct
0.500 0.750 0.750
0.000 0.037 0.963
0.000 0.463 0.537
0.500 0.250 0.250



Entry 3:
Pa2V3Ge4, relaxed, DFT PBE; total moment = 0.000 μB per atom; space-group type = P2_1/c; density = 9.5 g cm⁻³; crystal system = monoclinic; formation energy = -0.421 eV/atom; electronic total energy = -7.62 eV per atom; D(E_F) = 11.0 states/eV/f.u.
1.0
-0.792 2.917 -6.248
-4.165 -5.560 0.568
-5.066 4.054 2.535
Pa V Ge
4 6 8
Direct
0.552 0.187 0.331
0.948 0.813 0.831
0.448 0.813 0.669
0.052 0.187 0.169
0.000 0.500 0.500
0.500 0.500 0.000
0.751 0.247 0.849
0.749 0.753 0.349
0.249 0.753 0.151
0.251 0.247 0.651
0.863 0.098 0.554
0.637 0.902 0.054
0.137 0.902 0.446
0.363 0.098 0.946
0.865 0.512 0.142
0.635 0.488 0.642
0.135 0.488 0.858
0.365 0.512 0.358



Entry 4:
SrTaTiBr2, relaxed, DFT PBE; total moment = 1.237 μB per atom; energy relative to the elements, uncorrected = 1.111 eV/atom; space-group type = P4/mmm; density = 3.5 g cm⁻³; crystal system = tetragonal; electronic total energy = -3.84 eV per atom; D(E_F) = 6.3 states/eV/f.u.
1.0
5.492 0.000 0.000
0.000 7.520 0.000
0.000 0.000 5.492
Sr Ti Br Ta
1 1 2 1
Direct
0.000 0.000 0.000
0.000 0.500 0.000
0.000 0.000 0.500
0.500 0.000 0.000
0.500 0.500 0.500



Entry 5:
Ge4Pd5Rh4, relaxed, DFT PBE; total moment = 0.000 μB per atom; space-group type = I4/m; density = 10.5 g cm⁻³; crystal system = tetragonal; formation energy = -0.426 eV/atom; electronic total energy = -6.11 eV per atom; D(E_F) = 7.9 states/eV/f.u.
1.0
3.878 0.000 0.986
1.939 6.984 0.493
0.218 0.000 7.262
Ge Pd Rh
4 5 4
Direct
0.754 0.334 0.158
0.246 0.666 0.842
0.912 0.842 0.334
0.088 0.158 0.666
0.688 0.924 0.700
0.312 0.076 0.300
0.000 0.000 0.000
0.612 0.700 0.076
0.388 0.300 0.924
0.892 0.512 0.704
0.596 0.296 0.512
0.108 0.488 0.296
0.404 0.704 0.488



Entry 6:
CeNi4Au, relaxed, DFT PBE; total moment = 0.001 μB per atom; space-group type = F-43m; density = 10.9 g cm⁻³; crystal system = cubic; formation energy = -0.391 eV/atom; electronic total energy = -5.78 eV per atom; D(E_F) = 8.2 states/eV/f.u.
1.0
4.970 0.000 0.000
2.485 4.304 0.000
2.485 1.435 4.058
Ni Au Ce
4 1 1
Direct
0.626 0.626 0.123
0.626 0.123 0.626
0.626 0.626 0.626
0.123 0.626 0.626
0.000 0.000 0.000
0.250 0.250 0.250



Entry 7:
Pu2NiAg3Se6, relaxed, DFT PBE; total moment = 0.714 μB per atom; energy relative to the elements, uncorrected = -0.608 eV/atom; space-group type = C2/m; density = 8.3 g cm⁻³; crystal system = monoclinic; electronic total energy = -5.93 eV per atom; D(E_F) = 22.0 states/eV/f.u.
1.0
4.114 0.000 0.000
0.000 7.823 0.388
-2.057 -2.147 8.211
Pu Ni Ag Se
2 1 3 6
Direct
0.842 0.689 0.685
0.158 0.311 0.315
0.500 0.000 0.000
0.500 0.500 0.000
0.817 0.181 0.633
0.183 0.819 0.367
0.350 0.944 0.700
0.667 0.571 0.335
0.650 0.056 0.300
0.990 0.214 0.981
0.010 0.786 0.019
0.333 0.429 0.665



Entry 8:
ScTiTc2I, relaxed, DFT PBE; total moment = 0.310 μB per atom; energy relative to the elements, uncorrected = 1.608 eV/atom; space-group type = P4/mmm; density = 6.0 g cm⁻³; crystal system = tetragonal; electronic total energy = -5.69 eV per atom; D(E_F) = 5.4 states/eV/f.u.
1.0
-3.119 -0.834 -3.467
2.745 -4.053 -1.494
-2.502 -2.770 2.917
I Sc Tc Ti
1 1 2 1
Direct
0.500 0.500 0.500
0.000 0.000 0.000
0.000 0.000 0.500
0.500 0.000 0.000
0.000 0.500 0.000



Entry 9:
Li4InHg2, relaxed, DFT PBE; total moment = 0.000 μB per atom; space-group type = R-3m; offset from the most stable computed form = 0.000 eV per atom; density = 6.5 g cm⁻³; crystal system = trigonal; formation energy = -0.310 eV/atom; electronic total energy = -1.88 eV per atom; D(E_F) = 1.5 states/eV/f.u.
1.0
-4.687 -0.109 0.024
-2.321 -0.108 4.072
-2.504 7.194 1.462
Li In Hg
4 1 2
Direct
0.867 0.867 0.400
0.133 0.133 0.600
0.604 0.604 0.189
0.396 0.396 0.811
0.000 0.000 0.000
0.741 0.741 0.777
0.259 0.259 0.223



Entry 10:
Ac6TbHg12, relaxed, DFT PBE; total moment = 0.000 μB per atom; space-group type = R-3; density = 10.8 g cm⁻³; crystal system = trigonal; formation energy = -0.369 eV/atom; electronic total energy = -2.10 eV per atom; D(E_F) = 14.5 states/eV/f.u.
1.0
-8.687 -2.348 0.187
4.635 -6.629 3.948
0.892 7.315 5.167
Ac Tb Hg
6 1 12
Direct
0.077 0.228 0.491
0.772 0.509 0.923
0.509 0.923 0.772
0.923 0.772 0.509
0.228 0.491 0.077
0.491 0.077 0.228
0.000 0.000 0.000
0.438 0.183 0.586
0.183 0.586 0.438
0.586 0.438 0.183
0.562 0.817 0.414
0.817 0.414 0.562
0.414 0.562 0.817
0.261 0.134 0.850
0.150 0.739 0.866
0.866 0.150 0.739
0.739 0.866 0.150
0.850 0.261 0.134
0.134 0.850 0.261



Entry 11:
SrRe5, relaxed, DFT PBE; total moment = 0.000 μB per atom; space-group type = Amm2; offset from the most stable computed form = 0.063 eV per atom; density = 15.2 g cm⁻³; crystal system = orthorhombic; formation energy = 0.581 eV/atom; electronic total energy = -10.07 eV per atom; D(E_F) = 7.0 states/eV/f.u.
1.0
-3.204 6.617 -5.593
0.540 -7.422 5.473
-0.910 2.494 3.472
Sr Re
1 5
Direct
0.101 0.899 0.500
0.968 0.032 0.000
0.340 0.660 0.000
0.711 0.289 0.000
0.423 0.577 0.500
0.790 0.210 0.500



Entry 12:
UGaOs2, relaxed, DFT PBE; total moment = 0.000 μB per atom; space-group type = P4/mmm; density = 17.3 g cm⁻³; crystal system = tetragonal; formation energy = 0.003 eV/atom; electronic total energy = -9.19 eV per atom; D(E_F) = 5.3 states/eV/f.u.
1.0
-2.963 -0.631 -0.582
0.239 -2.615 1.620
-1.852 3.392 5.747
Os U Ga
2 1 1
Direct
0.000 0.000 0.779
0.000 0.000 0.221
0.500 0.500 0.500
0.500 0.500 0.000



Q: Among the records above, which one has the highest density?
A: UGaOs2